Entry 1:
Density functional theory data (PBE) for a relaxed TbSc2Al2 crystal.

Cell: 4.8934 4.8934 5.8923 Å, 90.00 90.00 120.00°
Last column: nearest neighbours and their distance in Å.
Space group P-3m1 (No. 164)
Unique sites:
Tb  0.0000  0.0000  0.0000  6 Al 2.99
Sc  0.3333  0.6667  0.6485  5 Al 2.83-3.06
Al  0.3333  0.6667  0.1681  5 Sc 2.83-3.06, 3 Tb 2.99

- E_form: -135 meV per atom
- Total energy: -5.091 eV per atom
- Offset from the most stable computed form: 0.064 eV per atom
- DOS(E_F): 1.4301 states/eV/atom



Entry 2:
Density functional theory data (PBE) for a relaxed SrHf2In crystal.

Cell: 4.4641 4.4641 22.2146 Å, 90.00 90.00 90.00°
Last column: nearest neighbours and their distance in Å.
Space group I-42d (No. 122)
Unique sites:
Sr  0.0000  0.0000  0.0000  4 In 3.16, 4 Hf 3.23
Hf  0.2301  0.2500  0.6250  4 Hf 3.03-3.28, 2 In 3.16, 2 Sr 3.23
In  0.0000  0.0000  0.5000  4 Sr 3.16, 4 Hf 3.16

- E_form: 603 meV per atom
- Total energy: -5.479 eV per atom
- DOS(E_F): 1.9110 states/eV/atom



Entry 3:
Density functional theory data (PBE) for a relaxed Ga6Co5Ni crystal.

Cell: 4.0815 5.8041 6.4488 Å, 90.00 108.29 90.00°
Last column: nearest neighbours and their distance in Å.
Space group P2/m (No. 10)
Unique sites:
Ga  0.0000  0.2480  0.0000  6 Co 2.48-2.50, 2 Ni 2.51
Ga  0.3321  0.2489  0.6642  7 Co 2.50-2.51, 1 Ni 2.52
Co  0.1651  0.0000  0.3304  8 Ga 2.48-2.50
Co  0.1654  0.5000  0.3310  8 Ga 2.50-2.51
Co  0.5000  0.0000  0.0000  8 Ga 2.50-2.51
Ni  0.5000  0.5000  0.0000  8 Ga 2.51-2.52

- E_form: -288 meV per atom
- Total energy: -5.244 eV per atom
- DOS(E_F): 0.5900 states/eV/atom



Entry 4:
Density functional theory data (PBE) for a relaxed Sc2HgBr crystal.

Cell: 3.7616 3.7616 6.6407 Å, 90.00 90.00 90.00°
Last column: nearest neighbours and their distance in Å.
Space group P4mm (No. 99)
Unique sites:
Sc  0.0000  0.0000  0.0000  1 Br 2.82, 4 Hg 2.94
Sc  0.5000  0.5000  0.3029  4 Br 2.78
Hg  0.5000  0.5000  0.8127  5 Sc 2.94-3.26
Br  0.0000  0.0000  0.4252  5 Sc 2.78-2.82

- Total energy: -4.188 eV per atom
- Offset from the most stable computed form: 0.060 eV per atom
- DOS(E_F): 0.5281 states/eV/atom
- Uncorrected formation energy: -529 meV per atom



Entry 5:
Density functional theory data (PBE) for a relaxed Dy4CuHgRu2 crystal.

Cell: 4.9396 4.9396 24.2814 Å, 90.00 90.00 120.00°
Last column: nearest neighbours and their distance in Å.
Space group R-3m (No. 166, hexagonal axes)
Unique sites:
Dy  0.0000  0.0000  0.1204  1 Cu 2.92, 4 Ru 2.99-3.16, 3 Hg 3.07
Dy  0.0000  0.0000  0.3715  4 Ru 2.94-3.05, 3 Cu 3.00, 1 Hg 3.12
Cu  0.0000  0.0000  0.0000  8 Dy 2.92-3.00
Hg  0.0000  0.0000  0.5000  8 Dy 3.07-3.12
Ru  0.0000  0.0000  0.2505  8 Dy 2.94-3.16

- E_form: -347 meV per atom
- Total energy: -5.517 eV per atom
- DOS(E_F): 0.7882 states/eV/atom



Entry 6:
Density functional theory data (PBE) for a relaxed LiRe2Se crystal.

Cell: 3.1286 3.1286 5.8728 Å, 90.00 90.00 90.00°
Last column: nearest neighbours and their distance in Å.
Space group P4mm (No. 99)
Unique sites:
Li  0.0000  0.0000  0.0000  4 Se 2.49, 4 Re 2.66
Re  0.0000  0.0000  0.4974  4 Re 2.64, 4 Se 2.85, 2 Li 2.92-2.95
Re  0.5000  0.5000  0.2522  1 Se 2.63, 4 Re 2.64, 4 Li 2.66
Se  0.5000  0.5000  0.8045  4 Li 2.49, 1 Re 2.63

- Total energy: -7.445 eV per atom
- DOS(E_F): 0.8825 states/eV/atom
- Uncorrected formation energy: 128 meV per atom



Entry 7:
Density functional theory data (PBE) for a relaxed IrCl3 crystal.

Cell: 7.8660 7.8660 4.2927 Å, 90.00 90.00 120.00°
Last column: nearest neighbours and their distance in Å.
Space group R-3m (No. 166, hexagonal axes)
Unique sites:
Ir  0.0000  0.0000  0.0000  6 Cl 2.68
Cl  0.0000  0.5000  0.0000  4 Cl 2.68, 2 Ir 2.68

- Total energy: -2.594 eV per atom
- DOS(E_F): 1.9135 states/eV/atom
- Uncorrected formation energy: 1006 meV per atom



Entry 8:
Density functional theory data (PBE) for a relaxed LiRePt crystal.

Cell: 2.6974 4.1389 7.6677 Å, 90.00 91.78 90.00°
Last column: nearest neighbours and their distance in Å.
Space group Pm (No. 6)
Unique sites:
Li  0.0000  0.0000  0.0000  6 Pt 2.58-2.69, 4 Li 2.63-2.81, 1 Re 2.64
Li  0.4603  0.0000  0.3072  4 Pt 2.55-2.65, 2 Re 2.59, 4 Li 2.63-2.81
Re  0.5362  0.5000  0.5088  4 Re 2.55-2.70, 2 Li 2.59, 3 Pt 2.68-2.75
Re  0.9048  0.0000  0.6569  4 Re 2.55-2.70, 1 Li 2.64
Pt  0.4757  0.5000  0.8652  4 Li 2.66-2.69, 4 Pt 2.70-2.93, 3 Re 2.74-2.88
Pt  0.9853  0.5000  0.2015  6 Li 2.55-2.65, 2 Re 2.68-2.75, 2 Pt 2.70

- E_form: -223 meV per atom
- Total energy: -7.024 eV per atom
- Offset from the most stable computed form: 0.030 eV per atom
- DOS(E_F): 0.4851 states/eV/atom



Entry 9:
Density functional theory data (PBE) for a relaxed Al4ZnCl crystal.

Cell: 7.7847 7.7847 7.7847 Å, 90.00 90.00 90.00°
Last column: nearest neighbours and their distance in Å.
Space group F-43m (No. 216)
Unique sites:
Al  0.1243  0.1243  0.3757  6 Al 2.74-2.77
Zn  0.2500  0.2500  0.7500  12 Al 3.23, 4 Cl 3.37
Cl  0.0000  0.0000  0.0000  12 Al 3.23, 4 Zn 3.37

- Total energy: -2.809 eV per atom
- DOS(E_F): 0.5793 states/eV/atom
- Uncorrected formation energy: 206 meV per atom



Entry 10:
Density functional theory data (PBE) for a relaxed LiPaTc4 crystal.

Cell: 7.4783 7.4783 7.4783 Å, 90.00 90.00 90.00°
Last column: nearest neighbours and their distance in Å.
Space group F-43m (No. 216)
Unique sites:
Li  0.0000  0.0000  0.0000  12 Tc 3.10, 4 Pa 3.24
Pa  0.2500  0.2500  0.7500  12 Tc 3.10, 4 Li 3.24
Tc  0.1255  0.1255  0.3745  6 Tc 2.63-2.65

- E_form: 172 meV per atom
- Total energy: -8.641 eV per atom
- DOS(E_F): 1.5462 states/eV/atom



Entry 11:
Density functional theory data (PBE) for a relaxed HfInNiRu crystal.

Cell: 6.4018 6.4018 6.4018 Å, 90.00 90.00 90.00°
Last column: nearest neighbours and their distance in Å.
Space group F-43m (No. 216)
Unique sites:
Hf  0.0000  0.0000  0.0000  4 Ru 2.77, 4 Ni 2.77
In  0.0000  0.0000  0.5000  4 Ru 2.77, 4 Ni 2.77
Ni  0.2500  0.2500  0.2500  4 Hf 2.77, 4 In 2.77
Ru  0.2500  0.2500  0.7500  4 Hf 2.77, 4 In 2.77

- E_form: -377 meV per atom
- Total energy: -7.314 eV per atom
- DOS(E_F): 0.8511 states/eV/atom



Entry 12:
Density functional theory data (PBE) for a relaxed Hf2BeFe5B2 crystal.

Cell: 8.5655 8.5655 3.0304 Å, 90.00 90.00 90.00°
Last column: nearest neighbours and their distance in Å.
Space group P4/mbm (No. 127)
Unique sites:
Hf  0.1750  0.3250  0.0000  3 B 2.45-2.59, 10 Fe 2.61-2.74
Be  0.0000  0.0000  0.0000  8 Fe 2.43
Fe  0.0000  0.5000  0.5000  4 B 2.12
Fe  0.0666  0.7883  0.5000  2 B 2.13
B  0.1227  0.6227  0.0000  6 Fe 2.12-2.13

- E_form: -389 meV per atom
- Total energy: -8.319 eV per atom
- DOS(E_F): 0.8409 states/eV/atom